Record 1
ZnOs3Pt: relaxed, PBE.

Structure (POSCAR):
```
ZnOs3Pt
1.0
4.776 0.000 0.000
0.000 4.776 0.000
0.000 0.000 4.776
Os Zn Pt
3 1 1
Cartesian
0.000 2.388 0.000 Os
0.000 0.000 2.388 Os
2.388 0.000 0.000 Os
2.388 2.388 2.388 Zn
0.000 0.000 0.000 Pt
```

***

Record 2
ZnOsPt3: relaxed, PBE.

Structure (POSCAR):
```
ZnOsPt3
1.0
4.543 0.000 0.000
0.000 4.543 0.000
0.000 0.000 4.543
Pt Zn Os
3 1 1
Cartesian
0.000 2.272 0.000 Pt
0.000 0.000 2.272 Pt
2.272 0.000 0.000 Pt
0.000 0.000 0.000 Zn
2.272 2.272 2.272 Os
```

***

Record 3
Zr2Os2Pt: relaxed, PBE.

Structure (POSCAR):
```
Zr2Os2Pt
1.0
-0.130 2.437 2.622
-3.079 1.261 -1.325
-5.468 -3.025 4.987
Zr Pt Os
2 1 2
Cartesian
-6.275 -0.169 4.739 Zr
-2.403 0.842 1.544 Zr
0.000 0.000 0.000 Pt
-3.602 0.630 4.129 Os
-5.076 0.043 2.155 Os
```

***

Record 4
Zr6OsPt: relaxed, PBE.

Structure (POSCAR):
```
Zr6OsPt
1.0
-2.831 -3.087 2.182
0.274 -2.886 -3.728
4.627 -6.288 2.218
Os Zr Pt
1 6 1
Cartesian
-1.278 -2.986 -0.773 Os
3.460 -7.003 -0.306 Zr
1.908 -7.103 2.649 Zr
-1.389 -5.258 0.978 Zr
1.662 -4.630 0.716 Zr
0.409 -7.631 -0.043 Zr
0.163 -5.158 -1.977 Zr
0.000 0.000 0.000 Pt
```

***

Ordered ρ results: 12666; 14888; 12937; 9388; unit kg/m³.
Ordered raw total energy results: -0.206; -0.173; -0.338; -0.329; unit hartree per atom.